The following is a PBE-GGA calculation of a relaxed structure of Hg2PdPt2O6, from the Alexandria database.

Cell: 5.458 5.458 8.265 Å, 100.45 100.45 120.26°
Last column: magnetic moment on the atom in μB.
Positions (direct):
O  0.591  0.931  0.372  0.03
O  0.931  0.591  0.372  0.03
O  0.737  0.737  0.626  0.00
O  0.263  0.263  0.374  0.00
O  0.069  0.409  0.628  0.03
O  0.409  0.069  0.628  0.03
Hg  0.171  0.829  0.000  0.00
Hg  0.829  0.171  0.000  0.00
Pt  0.333  0.667  0.500  0.01
Pt  0.667  0.333  0.500  0.01
Pd  0.000  0.000  0.500  0.16

Summary:
**Electronic total energy**: -51.48 eV for the cell shown
**SG**: C2/m

=====

The following is a PBE-GGA calculation of a relaxed structure of Ca2In3Pd, from the Alexandria database.

Cell: 3.706 4.826 8.575 Å, 90.00 90.00 90.00°
Positions (direct):
In  0.500  0.500  0.651
In  0.500  0.000  0.176
In  0.500  0.000  0.836
Ca  0.000  0.500  0.027
Ca  0.000  0.000  0.482
Pd  0.500  0.500  0.330

Summary:
**E_form**: -0.512 eV/atom
**SG**: Pmm2

=====

The following is a PBE-GGA calculation of a relaxed structure of YHo2O, from the Alexandria database.

Cell: 3.518 3.518 8.878 Å, 78.57 78.57 60.00°
Last column: magnetic moment on the atom in μB.
Positions (direct):
O  0.000  0.000  0.000  0.01
Ho  0.281  0.281  0.156  0.02
Ho  0.719  0.719  0.844  0.02
Y  0.500  0.500  0.500  0.07

Summary:
**SG**: R-3m
**E above lowest polymorph**: 0.000 eV per atom

=====

The following is a PBE-GGA calculation of a relaxed structure of BaScTl2I6, from the Alexandria database.

Cell: 8.557 8.557 8.904 Å, 61.26 61.26 59.98°
Last column: magnetic moment on the atom in μB.
Positions (direct):
I  0.440  0.667  0.781  0.00
I  0.111  0.440  0.782  0.00
I  0.984  0.567  0.248  -0.01
I  0.667  0.111  0.782  0.00
I  0.202  0.984  0.248  -0.01
I  0.566  0.202  0.248  -0.01
Sc  0.324  0.324  0.028  0.69
Ba  0.821  0.821  0.536  0.01
Tl  0.021  0.021  0.938  0.00
Tl  0.525  0.525  0.425  0.01

Summary:
**Electronic total energy**: -32.85 eV for the cell shown
**SG**: R3

=====

The following is a PBE-GGA calculation of a relaxed structure of PmNdZn2, from the Alexandria database.

Cell: 5.188 5.188 5.188 Å, 60.00 60.00 60.00°
Positions (direct):
Pm  0.250  0.250  0.250
Zn  0.500  0.500  0.500
Zn  0.000  0.000  0.000
Nd  0.750  0.750  0.750

Summary:
**E_form**: -0.313 eV/atom
**SG**: Fm-3m

=====

The following is a PBE-GGA calculation of a relaxed structure of Sr3RhI, from the Alexandria database.

Cell: 4.583 8.185 10.909 Å, 85.43 90.00 90.00°
Positions (direct):
Rh  0.099  0.437  0.780
Rh  0.599  0.533  0.593
Sr  0.599  0.626  0.878
Sr  0.099  0.767  0.605
Sr  0.599  0.203  0.768
Sr  0.099  0.288  0.064
Sr  0.099  0.343  0.495
Sr  0.599  0.681  0.309
I  0.099  0.003  0.336
I  0.599  0.967  0.037

Summary:
**SG**: P2_1/m
**E above lowest polymorph**: 0.000 eV per atom

=====

The following is a PBE-GGA calculation of a relaxed structure of Ho2UP3Rh12, from the Alexandria database.

Cell: 6.706 6.706 6.706 Å, 82.31 82.31 82.31°
Positions (direct):
P  0.500  0.000  0.000
P  0.000  0.000  0.500
P  0.000  0.500  0.000
Rh  0.365  0.365  0.913
Rh  0.177  0.668  0.177
Rh  0.635  0.635  0.087
Rh  0.668  0.177  0.177
Rh  0.823  0.332  0.823
Rh  0.823  0.823  0.332
Rh  0.087  0.635  0.635
Rh  0.177  0.177  0.668
Rh  0.635  0.087  0.635
Rh  0.365  0.913  0.365
Rh  0.913  0.365  0.365
Rh  0.332  0.823  0.823
Ho  0.622  0.622  0.622
Ho  0.378  0.378  0.378
U  0.000  0.000  0.000

Summary:
**E_form**: -0.428 eV/atom
**SG**: R-3m

=====

The following is a PBE-GGA calculation of a relaxed structure of Cs2Tl5Hg12, from the Alexandria database.

Cell: 8.606 8.606 8.606 Å, 80.57 80.57 80.57°
Positions (direct):
Hg  0.640  0.162  0.640
Hg  0.706  0.000  0.294
Hg  0.360  0.360  0.838
Hg  0.000  0.294  0.706
Hg  0.294  0.000  0.706
Hg  0.706  0.294  0.000
Hg  0.294  0.706  0.000
Hg  0.000  0.706  0.294
Hg  0.360  0.838  0.360
Hg  0.640  0.640  0.162
Hg  0.838  0.360  0.360
Hg  0.162  0.640  0.640
Tl  0.903  0.903  0.903
Tl  0.000  0.500  0.000
Tl  0.097  0.097  0.097
Tl  0.000  0.000  0.500
Tl  0.500  0.000  0.000
Cs  0.339  0.339  0.339
Cs  0.661  0.661  0.661

Summary:
**E_form**: -0.092 eV/atom
**SG**: R-3m

=====

The following is a PBE-GGA calculation of a relaxed structure of BaFe2Ir2, from the Alexandria database.

Cell: 4.366 4.366 6.019 Å, 68.73 68.73 90.00°
Last column: magnetic moment on the atom in μB.
Positions (direct):
Ir  0.375  0.375  0.250  0.40
Ir  0.625  0.625  0.750  0.40
Fe  0.250  0.750  0.500  2.91
Fe  0.750  0.250  0.500  2.91
Ba  0.000  0.000  0.000  -0.02

Summary:
**E_form**: 0.130 eV/atom
**SG**: I4/mmm

=====

The following is a PBE-GGA calculation of a relaxed structure of MgVPt2Se, from the Alexandria database.

Cell: 4.608 5.196 4.608 Å, 90.00 90.00 90.00°
Last column: magnetic moment on the atom in μB.
Positions (direct):
Pt  0.000  0.000  0.500  0.00
Pt  0.500  0.000  0.000  0.05
V  0.000  0.000  0.000  1.53
Mg  0.000  0.500  0.000  0.02
Se  0.500  0.500  0.500  0.09

Summary:
**Electronic total energy**: -22.60 eV for the cell shown
**SG**: P4/mmm

=====

The following is a PBE-GGA calculation of a relaxed structure of Rb2HfTe4Pb, from the Alexandria database.

Cell: 4.445 8.025 8.787 Å, 106.02 90.00 90.00°
Positions (direct):
Te  0.000  0.706  0.189
Te  0.500  0.735  0.802
Te  0.000  0.294  0.811
Te  0.500  0.265  0.198
Rb  0.000  0.500  0.500
Rb  0.500  0.000  0.500
Hf  0.500  0.500  0.000
Pb  0.000  0.000  0.000

Summary:
**Electronic total energy**: -34.77 eV for the cell shown
**SG**: P2/m

=====

The following is a PBE-GGA calculation of a relaxed structure of La3ZrC, from the Alexandria database.

Cell: 5.217 5.217 5.217 Å, 90.00 90.00 90.00°
Positions (direct):
La  0.500  0.000  0.000
La  0.000  0.500  0.000
La  0.000  0.000  0.500
C  0.000  0.000  0.000
Zr  0.500  0.500  0.500

Summary:
**E_form**: 0.232 eV/atom
**SG**: Pm-3m
**E above lowest polymorph**: 0.000 eV per atom

=====

The following is a PBE-GGA calculation of a relaxed structure of PuUSe2S, from the Alexandria database.

Cell: 4.152 4.152 14.289 Å, 90.00 90.00 90.00°
Last column: magnetic moment on the atom in μB.
Positions (direct):
Se  0.500  0.000  0.893  0.10
Se  0.500  0.000  0.304  -0.03
Se  0.000  0.500  0.696  -0.03
Se  0.000  0.500  0.107  0.10
Pu  0.000  0.500  0.898  -5.41
Pu  0.500  0.000  0.102  -5.41
U  0.500  0.000  0.625  2.28
U  0.000  0.500  0.375  2.28
S  0.500  0.500  0.500  -0.09
S  0.000  0.000  0.500  -0.09

Summary:
**Electronic total energy**: -86.41 eV for the cell shown
**SG**: P4/nmm

=====

The following is a PBE-GGA calculation of a relaxed structure of NbAgHg2Br, from the Alexandria database.

Cell: 6.273 4.982 6.273 Å, 90.00 90.00 90.00°
Last column: magnetic moment on the atom in μB.
Positions (direct):
Br  0.000  0.000  0.000  -0.03
Nb  0.000  0.500  0.000  2.68
Hg  0.500  0.000  0.000  0.00
Hg  0.000  0.000  0.500  0.04
Ag  0.500  0.500  0.500  -0.07

Summary:
**Electronic total energy**: -10.03 eV for the cell shown
**SG**: P4/mmm

=====

The following is a PBE-GGA calculation of a relaxed structure of SrAlZn2Ga4, from the Alexandria database.

Cell: 4.553 4.553 9.499 Å, 76.13 76.13 60.00°
Positions (direct):
Ga  0.130  0.130  0.609
Ga  0.595  0.595  0.214
Ga  0.870  0.870  0.391
Ga  0.405  0.405  0.786
Zn  0.248  0.248  0.255
Zn  0.752  0.752  0.745
Al  0.500  0.500  0.500
Sr  0.000  0.000  0.000

Summary:
**E_form**: -0.139 eV/atom
**SG**: R-3m

=====

The following is a PBE-GGA calculation of a relaxed structure of KNbO2, from the Alexandria database.

Cell: 4.117 4.117 4.117 Å, 60.00 60.00 60.00°
Last column: magnetic moment on the atom in μB.
Positions (direct):
O  0.250  0.250  0.250  -0.07
O  0.750  0.750  0.750  -0.07
K  0.000  0.000  0.000  0.07
Nb  0.500  0.500  0.500  1.82

Summary:
**Electronic total energy**: -24.29 eV for the cell shown
**SG**: Fm-3m

=====

The following is a PBE-GGA calculation of a relaxed structure of Rb4UBi3Te8, from the Alexandria database.

Cell: 9.318 10.088 9.318 Å, 117.51 120.00 90.00°
Last column: magnetic moment on the atom in μB.
Positions (direct):
Bi  0.000  0.500  0.500  0.02
Bi  0.500  0.500  0.000  0.02
Bi  0.500  0.500  0.500  0.02
Te  0.738  0.701  0.969  -0.02
Te  0.768  0.299  0.031  -0.02
Te  0.768  0.299  0.536  -0.02
Te  0.266  0.299  0.533  0.00
Te  0.262  0.299  0.031  -0.02
Te  0.734  0.701  0.467  0.00
Te  0.232  0.701  0.969  -0.02
Te  0.232  0.701  0.464  -0.02
U  0.000  0.500  0.000  2.70
Rb  0.000  0.000  0.000  0.00
Rb  0.500  0.000  0.000  0.00
Rb  0.500  0.000  0.500  0.00
Rb  0.000  0.000  0.500  0.00

Summary:
**Electronic total energy**: -62.60 eV for the cell shown
**SG**: R-3m

=====

The following is a PBE-GGA calculation of a relaxed structure of POs2Br, from the Alexandria database.

Cell: 2.980 2.980 6.967 Å, 90.00 90.00 90.00°
Positions (direct):
Br  0.500  0.500  0.750
P  0.500  0.500  0.250
Os  0.000  0.000  0.440
Os  0.000  0.000  0.060

Summary:
**SG**: P4/mmm
**E above lowest polymorph**: 0.350 eV per atom

=====

The following is a PBE-GGA calculation of a relaxed structure of TlFe2Os, from the Alexandria database.

Cell: 2.972 2.972 6.903 Å, 90.00 90.00 90.00°
Last column: magnetic moment on the atom in μB.
Positions (direct):
Fe  0.500  0.500  0.244  2.20
Fe  0.000  0.000  0.050  2.51
Tl  0.500  0.500  0.761  -0.01
Os  0.000  0.000  0.445  0.06

Summary:
**E_form**: 0.522 eV/atom
**SG**: P4mm
**E above lowest polymorph**: 0.004 eV per atom

=====

The following is a PBE-GGA calculation of a relaxed structure of Na2InTeSe4, from the Alexandria database.

Cell: 8.209 8.209 8.156 Å, 117.09 117.09 89.47°
Positions (direct):
Se  0.733  0.719  0.476
Se  0.781  0.767  0.024
Se  0.226  0.712  0.445
Se  0.267  0.281  0.524
Se  0.212  0.726  0.945
Se  0.219  0.233  0.976
Se  0.788  0.274  0.055
Se  0.774  0.288  0.555
Te  0.500  0.500  0.500
Te  0.000  0.000  0.000
In  0.000  0.500  0.500
In  0.000  0.500  0.000
Na  0.000  0.000  0.500
Na  0.500  0.000  0.500
Na  0.500  0.500  0.000
Na  0.500  0.000  0.000

Summary:
**Electronic total energy**: -54.14 eV for the cell shown
**SG**: C2/c